Entry 1:
# CsBaNi2W | the Alexandria database | PBE | optimized geometry
# Space-group type ... P4/mmm
# E_form ... 1106 meV per atom
data_CsBaNi2W
_symmetry_space_group_name_H-M 'P 1'
_symmetry_Int_Tables_number 1
_symmetry_space_group_name_Hall 'P 1'
_cell_length_a 4.8512
_cell_length_b 4.8512
_cell_length_c 5.7744
_cell_angle_alpha 90.00
_cell_angle_beta 90.00
_cell_angle_gamma 90.00
loop_
_atom_site_label
_atom_site_type_symbol
_atom_site_fract_x
_atom_site_fract_y
_atom_site_fract_z
Cs1 Cs 0.0000 0.0000 0.0000
Ba1 Ba 0.5000 0.5000 0.0000
Ni1 Ni 0.0000 0.5000 0.5000
Ni2 Ni 0.5000 0.0000 0.5000
W1 W 0.5000 0.5000 0.5000

---

Entry 2:
# Tb6Al5Zn | the Alexandria database | PBE | optimized geometry
# Space-group type ... P2/m
# E_form ... -395 meV per atom
data_Tb6Al5Zn
_symmetry_space_group_name_H-M 'P 1'
_symmetry_Int_Tables_number 1
_symmetry_space_group_name_Hall 'P 1'
_cell_length_a 5.1235
_cell_length_b 7.1879
_cell_length_c 8.0918
_cell_angle_alpha 90.00
_cell_angle_beta 108.24
_cell_angle_gamma 90.00
loop_
_atom_site_label
_atom_site_type_symbol
_atom_site_fract_x
_atom_site_fract_y
_atom_site_fract_z
Tb1 Tb 0.0000 0.2466 0.0000
Tb2 Tb 0.0000 0.7534 0.0000
Tb3 Tb 0.3350 0.2484 0.6695
Tb4 Tb 0.3350 0.7516 0.6695
Tb5 Tb 0.6650 0.2484 0.3305
Tb6 Tb 0.6650 0.7516 0.3305
Al1 Al 0.1663 0.0000 0.3329
Al2 Al 0.1670 0.5000 0.3346
Al3 Al 0.5000 0.5000 0.0000
Al4 Al 0.8330 0.5000 0.6654
Al5 Al 0.8337 0.0000 0.6671
Zn1 Zn 0.5000 0.0000 0.0000

---

Entry 3:
# Ca | the Alexandria database | PBE | optimized geometry
# E above lowest polymorph ... 259 meV/atom
# Space-group type ... I4_1/amd
# E_form ... 259 meV per atom
data_Ca
_symmetry_space_group_name_H-M 'P 1'
_symmetry_Int_Tables_number 1
_symmetry_space_group_name_Hall 'P 1'
_cell_length_a 6.8038
_cell_length_b 6.8038
_cell_length_c 3.6870
_cell_angle_alpha 90.00
_cell_angle_beta 90.00
_cell_angle_gamma 90.00
loop_
_atom_site_label
_atom_site_type_symbol
_atom_site_fract_x
_atom_site_fract_y
_atom_site_fract_z
Ca1 Ca 0.0000 0.2500 0.3750
Ca2 Ca 0.0000 0.7500 0.6250
Ca3 Ca 0.5000 0.2500 0.1250
Ca4 Ca 0.5000 0.7500 0.8750